{"formula": "Cr2SiCl", "functional": "meta-GGA SCAN", "state": "PBEsol geometry", "cell": [[2.9465, 0.0000, 0.0000], [0.0000, 2.9465, 0.0000], [0.0000, 0.0000, 6.9684]], "species": ["Cr", "Cr", "Si", "Cl"], "fractional_positions": [[0.0000, 0.0000, 0.0000], [0.5000, 0.5000, 0.1973], [0.0000, 0.0000, 0.3781], [0.5000, 0.5000, 0.7782]], "formation_energy_uncorrected_ev_per_fu": -0.35, "final_energy_ev_per_atom": -13.777, "relative_energy_ev_per_fu": 0.297, "n_ef_per_ev_cell": 0.85}


{"formula": "ZrPAu", "functional": "meta-GGA SCAN", "state": "PBEsol geometry", "cell": [[3.9229, 0.0000, 0.0000], [-1.9615, 3.3974, 0.0000], [0.0000, 0.0000, 4.0182]], "species": ["Zr", "P", "Au"], "fractional_positions": [[0.0000, 0.0000, 0.0000], [0.3333, 0.6667, 0.3385], [0.6667, 0.3333, 0.5566]], "ef_mev_per_atom": -817, "final_energy_ev_per_atom": -37.568, "n_ef_per_ev_cell": 0.28}


{"formula": "Zr2ReIr", "functional": "meta-GGA SCAN", "state": "PBEsol geometry", "cell": [[1.5635, 0.9027, 8.4030], [-1.5635, 0.9027, 8.4030], [0.0000, -1.8054, 8.4030]], "species": ["Zr", "Zr", "Re", "Ir"], "fractional_positions": [[0.2491, 0.2491, 0.2491], [0.7509, 0.7509, 0.7509], [0.5000, 0.5000, 0.5000], [0.0000, 0.0000, 0.0000]], "ef_mev_per_atom": -215, "final_energy_ev_per_atom": -51.113, "n_ef_per_ev_cell": 2.66}


{"formula": "ZrCo3O", "functional": "meta-GGA SCAN", "state": "PBEsol geometry", "cell": [[3.8291, 0.0000, 0.0000], [0.0000, 3.8291, 0.0000], [0.0000, 0.0000, 3.8291]], "species": ["Zr", "Co", "Co", "Co", "O"], "fractional_positions": [[0.0000, 0.0000, 0.0000], [0.0000, 0.5000, 0.5000], [0.5000, 0.0000, 0.5000], [0.5000, 0.5000, 0.0000], [0.5000, 0.5000, 0.5000]], "formation_energy_uncorrected_ev_per_fu": -0.89, "final_energy_ev_per_atom": -17.946, "n_ef_per_ev_cell": 3.64}